Below is an optimized crystal structure of Al2ZnCu, with properties calculated at the GGA-PBEsol level.

Computed properties:
Crystal system ... orthorhombic

```
Al2ZnCu
1.0
-0.159 -0.833 -2.532
3.648 -0.647 -0.016
-0.942 -5.362 1.823
Zn Al Cu
1 2 1
Cartesian
1.273 -3.421 -0.363
-0.716 -4.077 1.386
-0.226 -1.286 0.437
1.744 -0.740 -1.274
```

Below is an optimized crystal structure of AlZnCu, with properties calculated at the GGA-PBEsol level.

Computed properties:
Crystal system ... tetragonal

```
AlZnCu
1.0
-0.321 -0.781 2.583
-0.471 -2.545 -0.828
5.777 0.558 -0.543
Zn Al Cu
1 1 1
Cartesian
3.502 -0.719 0.217
0.101 -0.021 0.006
1.382 -2.029 0.988
```

Below is an optimized crystal structure of Al2ZnCu, with properties calculated at the GGA-PBEsol level.

Computed properties:
Crystal system ... orthorhombic

```
Al2ZnCu
1.0
2.675 0.025 0.000
-0.025 2.815 0.000
0.000 0.000 7.592
Zn Al Cu
1 2 1
Cartesian
1.325 1.420 2.067
0.000 0.000 0.061
1.325 1.420 5.472
0.000 0.000 3.787
```

Number 1: energy relative to the elements -0.037 eV per atom, magnetization 0.000 Bohr magnetons per cell, energy -14.25 eV/cell. Number 2: energy relative to the elements -0.054 eV per atom, magnetization 0.000 Bohr magnetons per cell, energy -10.17 eV/cell. Number 3: energy relative to the elements -0.048 eV per atom, magnetization 0.000 Bohr magnetons per cell, energy -14.29 eV/cell.